HgWO4 | GGA+U | relaxed

density: 9.28 g/cm3
DFT total energy: -5.94 eV/atom

Unit cell a=4.936 b=5.650 c=5.810 alpha=97.77 beta=90.00 gamma=90.00
Fractional positions:
W 0.500 0.500 0.000
O 0.240 0.754 0.107
O 0.760 0.246 0.893
O 0.165 0.946 0.703
O 0.740 0.746 0.893
Hg 0.000 0.500 0.500
O 0.335 0.446 0.703
O 0.665 0.554 0.297
O 0.260 0.254 0.107
Hg 0.500 0.000 0.500
W 0.000 0.000 0.000
O 0.835 0.054 0.297